Entry P
ZrIrC2: optimized geometry, PBE.

Results
* N(E_F): 0.28 states/eV per atom
* space group: I-42d, No. 122

Cell lengths 4.6958, 4.6958, 6.1373 Å; angles 67.51, 67.51, 90.00 degrees
Element x y z (fractional)
C: 0.6725 0.1250 0.2500
C: 0.0775 0.6250 0.2500
C: 0.3750 0.3275 0.7500
C: 0.8750 0.9225 0.7500
Ir: 0.0000 0.0000 0.0000
Ir: 0.7500 0.2500 0.5000
Zr: 0.5000 0.5000 0.0000
Zr: 0.2500 0.7500 0.5000

Entry Q
ZrIrC2: optimized geometry, PBE.

Results
* N(E_F): 1.45 states/eV per atom
* space group: Fm-3m, No. 225

Cell lengths 3.9945, 3.9945, 3.9945 Å; angles 60.00, 60.00, 60.00 degrees
Element x y z (fractional)
C: 0.2500 0.2500 0.2500
C: 0.7500 0.7500 0.7500
Ir: 0.5000 0.5000 0.5000
Zr: 0.0000 0.0000 0.0000

The structure with the greatest stability is entry P.

Entry P
KC8: optimized geometry, PBE.

Results
* N(E_F): 0.08 states/eV per atom
* space group: Fddd, No. 70

Cell lengths 11.5427, 10.9921, 4.9815 Å; angles 83.49, 71.11, 25.39 degrees
Element x y z (fractional)
K: 0.0000 0.0000 0.0000
K: 0.2500 0.2500 0.2500
C: 0.5415 0.2085 0.2921
C: 0.9579 0.2921 0.2085
C: 0.2921 0.9579 0.5415
C: 0.2085 0.5415 0.9579
C: 0.7085 0.0415 0.9579
C: 0.2921 0.9579 0.0415
C: 0.9579 0.2921 0.7085
C: 0.0415 0.7085 0.2921
C: 0.0413 0.7074 0.7919
C: 0.4594 0.7919 0.7074
C: 0.7919 0.4594 0.0413
C: 0.7074 0.0413 0.4594
C: 0.2087 0.5426 0.4581
C: 0.7906 0.4581 0.5426
C: 0.4581 0.7906 0.2087
C: 0.5426 0.2087 0.7906

Entry Q
KC8: optimized geometry, PBE.

Results
* N(E_F): 0.51 states/eV per atom
* space group: I4/mmm, No. 139

Cell lengths 7.1273, 7.1273, 7.1273 Å; angles 91.91, 91.91, 158.96 degrees
Element x y z (fractional)
K: 0.0000 0.0000 0.0000
C: 0.2510 0.7490 0.0000
C: 0.7490 0.2510 0.0000
C: 0.0000 0.4160 0.4160
C: 0.7490 0.7490 0.4980
C: 0.4160 0.0000 0.4160
C: 0.2510 0.2510 0.5020
C: 0.0000 0.5840 0.5840
C: 0.5840 0.0000 0.5840

The structure with the greatest stability is entry P.

Entry P
KC: optimized geometry, PBE.

Results
* N(E_F): 0.20 states/eV per atom
* space group: R-3m, No. 166

Cell lengths 8.9198, 8.9198, 8.9198 Å; angles 18.31, 18.31, 18.31 degrees
Element x y z (fractional)
K: 0.9101 0.9101 0.9101
K: 0.0899 0.0899 0.0899
C: 0.6667 0.6667 0.6667
C: 0.3333 0.3333 0.3333

Entry Q
KC: optimized geometry, PBE.

Results
* N(E_F): 0.34 states/eV per atom
* space group: Pmma, No. 51

Cell lengths 4.0788, 2.7247, 8.1253 Å; angles 90.00, 90.00, 90.00 degrees
Element x y z (fractional)
K: 0.5000 0.0000 0.4033
K: 0.5000 0.5000 0.9300
C: 0.0000 0.0000 0.1491
C: 0.0000 0.5000 0.1842

Entry R
KC: optimized geometry, PBE.

Results
* N(E_F): 0.32 states/eV per atom
* space group: P6_3/mmc, No. 194

Cell lengths 10.8682, 10.8682, 2.7290 Å; angles 90.00, 90.00, 120.00 degrees
Element x y z (fractional)
K: 0.7876 0.5752 0.2500
K: 0.2124 0.7876 0.7500
K: 0.4248 0.2124 0.2500
K: 0.2124 0.4248 0.7500
K: 0.7876 0.2124 0.2500
K: 0.5752 0.7876 0.7500
C: 0.4911 0.9823 0.2500
C: 0.5089 0.4911 0.7500
C: 0.0177 0.5089 0.2500
C: 0.5089 0.0177 0.7500
C: 0.4911 0.5089 0.2500
C: 0.9823 0.4911 0.7500

The structure with the greatest stability is entry Q.

Entry P
KC4: optimized geometry, PBE.

Results
* N(E_F): 0.12 states/eV per atom
* space group: C2/m, No. 12

Cell lengths 5.7185, 5.7185, 4.3370 Å; angles 67.81, 67.81, 25.89 degrees
Element x y z (fractional)
K: 0.0000 0.0000 0.0000
C: 0.2487 0.2487 0.0834
C: 0.7513 0.7513 0.9166
C: 0.2487 0.2487 0.4191
C: 0.7513 0.7513 0.5809

Entry Q
KC4: optimized geometry, PBE.

Results
* N(E_F): 3.18 states/eV per atom
* space group: Pm-3m, No. 221

Cell lengths 5.4647, 5.4647, 5.4647 Å; angles 90.00, 90.00, 90.00 degrees
Element x y z (fractional)
K: 0.5000 0.5000 0.5000
C: 0.0000 0.0000 0.0000
C: 0.5000 0.0000 0.5000
C: 0.0000 0.5000 0.5000
C: 0.5000 0.5000 0.0000

The structure with the greatest stability is entry P.

Entry P
K2C: optimized geometry, PBE.

Results
* N(E_F): 0.38 states/eV per atom
* space group: Cmc2_1, No. 36

Cell lengths 4.5349, 4.5349, 13.5137 Å; angles 90.00, 90.00, 120.08 degrees
Element x y z (fractional)
K: 0.5057 0.4943 0.2149
K: 0.4943 0.5057 0.7149
K: 0.8280 0.1720 0.5064
K: 0.1720 0.8280 0.0064
C: 0.8390 0.1610 0.1113
C: 0.1610 0.8390 0.6113

Entry Q
K2C: optimized geometry, PBE.

Results
* N(E_F): 0.13 states/eV per atom
* space group: R-3m, No. 166

Cell lengths 5.1094, 5.1094, 5.1094 Å; angles 59.84, 59.84, 59.84 degrees
Element x y z (fractional)
K: 0.2500 0.2500 0.2500
K: 0.7501 0.7501 0.7501
C: 0.0000 0.0000 0.0000

The structure with the greatest stability is entry Q.

Entry P
K2C: optimized geometry, PBE.

Results
* N(E_F): 0.49 states/eV per atom
* space group: I4_1/amd, No. 141

Cell lengths 15.4142, 15.4142, 15.4142 Å; angles 165.79, 165.79, 20.15 degrees
Element x y z (fractional)
K: 0.1982 0.6982 0.5000
K: 0.5518 0.5518 0.0000
K: 0.3018 0.8018 0.5000
K: 0.4482 0.4482 0.0000
C: 0.7500 0.2500 0.5000
C: 0.0000 0.0000 0.0000

Entry Q
K2C: optimized geometry, PBE.

Results
* N(E_F): 0.28 states/eV per atom
* space group: P4_2/mnm, No. 136

Cell lengths 6.9778, 6.9778, 4.5768 Å; angles 90.00, 90.00, 90.00 degrees
Element x y z (fractional)
K: 0.6952 0.3048 0.0000
K: 0.3048 0.6952 0.0000
K: 0.8048 0.8048 0.5000
K: 0.1952 0.1952 0.5000
C: 0.0000 0.0000 0.0000
C: 0.5000 0.5000 0.5000

The structure with the greatest stability is entry Q.

Entry P
K2C: optimized geometry, PBE.

Results
* N(E_F): 0.58 states/eV per atom
* space group: P-6m2, No. 187

Cell lengths 4.3021, 4.3021, 7.7752 Å; angles 90.00, 90.00, 120.00 degrees
Element x y z (fractional)
K: 0.0000 0.0000 0.7121
K: 0.0000 0.0000 0.2879
C: 0.3333 0.6667 0.5000

Entry Q
K2C: optimized geometry, PBE.

Results
* N(E_F): 0.19 states/eV per atom
* space group: P-62m, No. 189

Cell lengths 7.9852, 7.9852, 4.7232 Å; angles 90.00, 90.00, 120.00 degrees
Element x y z (fractional)
K: 0.2609 0.0000 0.0000
K: 0.0000 0.2609 0.0000
K: 0.7391 0.7391 0.0000
K: 0.5922 0.0000 0.5000
K: 0.0000 0.5922 0.5000
K: 0.4078 0.4078 0.5000
C: 0.3333 0.6667 0.0000
C: 0.6667 0.3333 0.0000
C: 0.0000 0.0000 0.5000

The structure with the greatest stability is entry Q.

Entry P
K2C: optimized geometry, PBE.

Results
* N(E_F): 0.42 states/eV per atom
* space group: Fd-3m, No. 227

Cell lengths 7.4723, 7.4723, 7.4723 Å; angles 60.00, 60.00, 60.00 degrees
Element x y z (fractional)
K: 0.6250 0.1250 0.1250
K: 0.1250 0.6250 0.1250
K: 0.1250 0.1250 0.6250
K: 0.1250 0.1250 0.1250
C: 0.5000 0.5000 0.5000
C: 0.7500 0.7500 0.7500

Entry Q
K2C: optimized geometry, PBE.

Results
* N(E_F): 0.50 states/eV per atom
* space group: Cmmm, No. 65

Cell lengths 8.1874, 8.1874, 4.2767 Å; angles 90.00, 90.00, 134.32 degrees
Element x y z (fractional)
K: 0.0000 0.0000 0.0000
K: 0.5000 0.5000 0.5000
K: 0.7658 0.2342 0.5000
K: 0.2342 0.7658 0.5000
C: 0.6362 0.3638 0.0000
C: 0.3638 0.6362 0.0000

Entry R
K2C: optimized geometry, PBE.

Results
* N(E_F): 0.18 states/eV per atom
* space group: P4/nmm, No. 129

Cell lengths 5.0169, 5.0169, 7.4951 Å; angles 90.00, 90.00, 90.00 degrees
Element x y z (fractional)
K: 0.0000 0.0000 0.0000
K: 0.5000 0.5000 0.0000
K: 0.5000 0.0000 0.3939
K: 0.0000 0.5000 0.6061
C: 0.5000 0.0000 0.7763
C: 0.0000 0.5000 0.2237

Entry S
K2C: optimized geometry, PBE.

Results
* N(E_F): 0.22 states/eV per atom
* space group: P6_3/mmc, No. 194

Cell lengths 5.0518, 5.0518, 7.9327 Å; angles 90.00, 90.00, 120.00 degrees
Element x y z (fractional)
K: 0.0000 0.0000 0.0000
K: 0.0000 0.0000 0.5000
K: 0.3333 0.6667 0.7500
K: 0.6667 0.3333 0.2500
C: 0.3333 0.6667 0.2500
C: 0.6667 0.3333 0.7500

The structure with the greatest stability is entry R.

Entry P
K2C: optimized geometry, PBE.

Results
* N(E_F): 0.34 states/eV per atom
* space group: P4/mmm, No. 123

Cell lengths 4.3906, 4.3906, 5.8497 Å; angles 90.00, 90.00, 90.00 degrees
Element x y z (fractional)
K: 0.0000 0.0000 0.5000
K: 0.5000 0.5000 0.0000
C: 0.0000 0.0000 0.0000

Entry Q
K2C: optimized geometry, PBE.

Results
* N(E_F): 0.52 states/eV per atom
* space group: R3m, No. 160

Cell lengths 7.9130, 7.9130, 7.9130 Å; angles 31.70, 31.70, 31.70 degrees
Element x y z (fractional)
K: 0.7399 0.7399 0.7399
K: 0.5935 0.5935 0.5935
C: 0.0000 0.0000 0.0000

The structure with the greatest stability is entry P.

Entry P
K5C4: optimized geometry, PBE.

Results
* N(E_F): 0.08 states/eV per atom
* space group: I4/mmm, No. 139

Cell lengths 8.0205, 8.0205, 8.0205 Å; angles 115.38, 115.38, 98.21 degrees
Element x y z (fractional)
K: 0.0000 0.0000 0.0000
K: 0.7080 0.2920 0.0000
K: 0.2920 0.7080 0.0000
K: 0.2920 0.2920 0.5840
K: 0.7080 0.7080 0.4160
C: 0.5740 0.0000 0.5740
C: 0.4260 0.0000 0.4260
C: 0.0000 0.4260 0.4260
C: 0.0000 0.5740 0.5740

Entry Q
K5C4: optimized geometry, PBE.

Results
* N(E_F): 0.53 states/eV per atom
* space group: P6_3/mcm, No. 193

Cell lengths 8.6432, 8.6432, 7.9807 Å; angles 90.00, 90.00, 120.00 degrees
Element x y z (fractional)
K: 0.0000 0.7542 0.2500
K: 0.2458 0.2458 0.2500
K: 0.7542 0.0000 0.2500
K: 0.0000 0.2458 0.7500
K: 0.7542 0.7542 0.7500
K: 0.2458 0.0000 0.7500
K: 0.6667 0.3333 0.0000
K: 0.3333 0.6667 0.5000
K: 0.3333 0.6667 0.0000
K: 0.6667 0.3333 0.5000
C: 0.0000 0.0000 0.0000
C: 0.0000 0.0000 0.5000
C: 0.0000 0.4146 0.2500
C: 0.5854 0.5854 0.2500
C: 0.4146 0.0000 0.2500
C: 0.0000 0.5854 0.7500
C: 0.4146 0.4146 0.7500
C: 0.5854 0.0000 0.7500

The structure with the greatest stability is entry P.